Record 1
This record from OQMD via LeMat-Bulk describes a geometry-optimized Pm3CoRe structure. The functional is PBE.

Computed properties:
magnetization = 0.24 μB/atom
uncorrected energy = -30.13 eV per cell
ΔH_f (0 K) = 0.73 eV/atom

The structure in POSCAR format:
```
Pm3CoRe
1.0
5.054 0.000 0.000
0.000 5.054 0.000
0.000 0.000 5.054
Pm Co Re
3 1 1
Direct
0.000 0.000 0.500
0.000 0.500 0.000
0.500 0.000 0.000
0.000 0.000 0.000
0.500 0.500 0.500
```


Record 2
This record from OQMD via LeMat-Bulk describes a geometry-optimized Pm3CoS structure. The functional is PBE.

Computed properties:
magnetization = 0.02 μB/atom
uncorrected energy = -26.21 eV per cell

The structure in POSCAR format:
```
Pm3CoS
1.0
5.264 0.000 0.000
0.000 5.264 0.000
0.000 0.000 5.264
Pm Co S
3 1 1
Direct
0.000 0.000 0.500
0.000 0.500 0.000
0.500 0.000 0.000
0.500 0.500 0.500
0.000 0.000 0.000
```


Record 3
This record from OQMD via LeMat-Bulk describes a geometry-optimized Pm2SmCo structure. The functional is PBE.

Computed properties:
magnetization = 0.01 μB/atom
uncorrected energy = -86.70 eV per cell
ΔH_f (0 K) = -0.09 eV/atom

The structure in POSCAR format:
```
Pm2SmCo
1.0
7.056 0.000 0.000
0.000 9.810 0.000
0.000 0.000 6.350
Pm Sm Co
8 4 4
Direct
0.172 0.070 0.176
0.172 0.430 0.176
0.328 0.570 0.676
0.328 0.930 0.676
0.672 0.070 0.324
0.672 0.430 0.324
0.828 0.570 0.824
0.828 0.930 0.824
0.044 0.250 0.649
0.456 0.750 0.149
0.544 0.250 0.851
0.956 0.750 0.351
0.116 0.750 0.943
0.384 0.250 0.443
0.616 0.750 0.557
0.884 0.250 0.057
```


Record 4
This record from OQMD via LeMat-Bulk describes a geometry-optimized Pm12Co6Sn structure. The functional is PBE.

Computed properties:
magnetization = 0.00 μB/atom
uncorrected energy = -107.41 eV per cell

The structure in POSCAR format:
```
Pm12Co6Sn
1.0
-4.961 4.961 4.961
4.961 -4.961 4.961
4.961 4.961 -4.961
Pm Co Sn
12 6 1
Direct
0.112 0.807 0.305
0.193 0.305 0.498
0.193 0.695 0.888
0.305 0.112 0.807
0.305 0.498 0.193
0.498 0.193 0.305
0.502 0.807 0.695
0.695 0.502 0.807
0.695 0.888 0.193
0.807 0.305 0.112
0.807 0.695 0.502
0.888 0.193 0.695
0.111 0.611 0.500
0.389 0.500 0.889
0.500 0.111 0.611
0.500 0.889 0.389
0.611 0.500 0.111
0.889 0.389 0.500
0.000 0.000 0.000
```


Record 5
This record from OQMD via LeMat-Bulk describes a geometry-optimized PmCoSn structure. The functional is PBE.

Computed properties:
magnetization = 0.54 μB/atom
uncorrected energy = -66.93 eV per cell

The structure in POSCAR format:
```
PmCoSn
1.0
6.501 0.000 0.000
0.000 6.501 0.000
0.000 0.000 6.501
Pm Co Sn
4 4 4
Direct
0.000 0.000 0.000
0.000 0.500 0.500
0.500 0.000 0.500
0.500 0.500 0.000
0.250 0.250 0.250
0.250 0.750 0.750
0.750 0.250 0.750
0.750 0.750 0.250
0.000 0.000 0.500
0.000 0.500 0.000
0.500 0.000 0.000
0.500 0.500 0.500
```


Record 6
This record from OQMD via LeMat-Bulk describes a geometry-optimized PmCoTc structure. The functional is PBE.

Computed properties:
magnetization = 0.96 μB/atom
uncorrected energy = -73.12 eV per cell
ΔH_f (0 K) = 1.31 eV/atom

The structure in POSCAR format:
```
PmCoTc
1.0
6.304 0.000 0.000
0.000 6.304 0.000
0.000 0.000 6.304
Pm Co Tc
4 4 4
Direct
0.000 0.000 0.000
0.000 0.500 0.500
0.500 0.000 0.500
0.500 0.500 0.000
0.250 0.250 0.750
0.250 0.750 0.250
0.750 0.250 0.250
0.750 0.750 0.750
0.250 0.250 0.250
0.250 0.750 0.750
0.750 0.250 0.750
0.750 0.750 0.250
```


Record 7
This record from OQMD via LeMat-Bulk describes a geometry-optimized PmCoTe structure. The functional is PBE.

Computed properties:
magnetization = 0.55 μB/atom
uncorrected energy = -59.59 eV per cell

The structure in POSCAR format:
```
PmCoTe
1.0
7.053 0.000 0.000
0.000 7.053 0.000
0.000 0.000 7.053
Pm Co Te
4 4 4
Direct
0.000 0.000 0.000
0.000 0.500 0.500
0.500 0.000 0.500
0.500 0.500 0.000
0.250 0.250 0.750
0.250 0.750 0.250
0.750 0.250 0.250
0.750 0.750 0.750
0.250 0.250 0.250
0.250 0.750 0.750
0.750 0.250 0.750
0.750 0.750 0.250
```


Record 8
This record from OQMD via LeMat-Bulk describes a geometry-optimized PmCoTe structure. The functional is PBE.

Computed properties:
magnetization = 0.00 μB/atom
uncorrected energy = -68.50 eV per cell

The structure in POSCAR format:
```
PmCoTe
1.0
6.411 0.000 0.000
0.000 6.411 0.000
0.000 0.000 6.411
Pm Co Te
4 4 4
Direct
0.000 0.000 0.000
0.000 0.500 0.500
0.500 0.000 0.500
0.500 0.500 0.000
0.250 0.250 0.250
0.250 0.750 0.750
0.750 0.250 0.750
0.750 0.750 0.250
0.000 0.000 0.500
0.000 0.500 0.000
0.500 0.000 0.000
0.500 0.500 0.500
```